The following is a DFT calculation (PBE-GGA) of crystalline Hf3VSn at its relaxed geometry.

Lattice parameters (Å, degrees): 5.2117 5.2117 5.2117 90.00 90.00 90.00
Sites, in units of the cell vectors:
Hf (0.0000, 0.0000, 0.5000)
Hf (0.0000, 0.5000, 0.0000)
Hf (0.5000, 0.0000, 0.0000)
V (0.5000, 0.5000, 0.5000)
Sn (0.0000, 0.0000, 0.0000)

Output
The value obtained for the density of states at the Fermi level is 7.9 states/eV/cell. The calculation puts the magnetization at 2.981 μB/cell. The space group is Pm-3m, No. 221. The density comes out at 8.3 g/cm³. The calculation puts the energy above the most stable polymorph in this dataset at 1440 meV per atom. The formation energy is 1381 meV/atom.